Here is a geometry-optimized GdCoSeO structure from OQMD via LeMat-Bulk. Energies are from PBE with a Hubbard U.

Summary:
M_tot ... 4.5 μB/cell
DFT total energy ... -5.62 eV per atom

abc: 11.202 11.202 11.202
angles: 23.19 23.19 23.19
Fractional coordinates of all 8 atoms:
Gd: 0.231 0.231 0.231
Gd: 0.769 0.769 0.769
Co: 0.351 0.351 0.351
Co: 0.649 0.649 0.649
Se: 0.129 0.129 0.129
Se: 0.871 0.871 0.871
O: 0.294 0.294 0.294
O: 0.706 0.706 0.706